Compound: KNpCuBr5
Source: the Alexandria database
Functional: PBE
Structure: relaxed

The space-group type is No. 15. Its formation energy without anion corrections is -1.15 eV/atom. Its uncorrected energy is -4.4644 eV per atom.

Unit cell a=7.7837 b=7.7837 c=10.7377 alpha=103.24 beta=103.24 gamma=106.40
Last column: nearest neighbours and their distance in Å.
Element x y z (fractional)
K 0.1407 0.8593 0.7500  5 Br 3.32-3.36
K 0.8593 0.1407 0.2500  5 Br 3.32-3.36
Np 0.5000 0.5000 0.0000  6 Br 2.90-2.91
Np 0.5000 0.5000 0.5000  6 Br 2.90-2.91
Cu 0.1905 0.8095 0.2500  4 Br 2.46-2.50
Cu 0.8095 0.1905 0.7500  4 Br 2.46-2.50
Br 0.1114 0.2543 0.9271  1 Cu 2.50
Br 0.1731 0.5801 0.3746  1 Cu 2.46
Br 0.2543 0.1114 0.4271  1 Cu 2.50
Br 0.4105 0.5895 0.7500  2 Np 2.91
Br 0.4199 0.8269 0.1254  1 Cu 2.46
Br 0.5801 0.1731 0.8746  1 Cu 2.46
Br 0.5895 0.4105 0.2500  2 Np 2.91
Br 0.7457 0.8886 0.5729  1 Cu 2.50
Br 0.8269 0.4199 0.6254  1 Cu 2.46
Br 0.8886 0.7457 0.0729  1 Cu 2.50